No. 1
Below is a relaxed Y2ErCo3Ni6 crystal, with properties calculated at the GGA-PBE level.

Calculated values
* calculated total energy: -6.316 eV per atom
* ΔE_f: -3.57 eV/f.u.

Unit cell a=4.9206 b=4.9206 c=24.3744 alpha=90.00 beta=90.00 gamma=120.00
Space group R-3m (No. 166, hexagonal axes)
Symmetry-distinct sites (fractional):
1 Y 0.0000 0.0000 0.1392
2 Er 0.0000 0.0000 0.0000
3 Co 0.0000 0.0000 0.3330
4 Co 0.0000 0.0000 0.5000
5 Ni 0.0022 0.5011 0.0812

---

No. 2
Below is a relaxed Y2ErCo8Ni crystal, with properties calculated at the GGA-PBE level.

Calculated values
* calculated total energy: -6.853 eV per atom
* ΔE_f: -2.32 eV/f.u.

Unit cell a=4.9143 b=4.9143 c=24.5817 alpha=90.00 beta=90.00 gamma=120.00
Space group R-3m (No. 166, hexagonal axes)
Symmetry-distinct sites (fractional):
1 Y 0.0000 0.0000 0.1389
2 Er 0.0000 0.0000 0.0000
3 Co 0.0000 0.0000 0.3337
4 Co 0.9999 0.4999 0.0799
5 Ni 0.0000 0.0000 0.5000

---

No. 3
Below is a relaxed YEr2Co8Ni crystal, with properties calculated at the GGA-PBE level.

Calculated values
* calculated total energy: -6.714 eV per atom
* ΔE_f: -2.55 eV/f.u.

Unit cell a=4.9093 b=4.9093 c=24.4010 alpha=90.00 beta=90.00 gamma=120.00
Space group R-3m (No. 166, hexagonal axes)
Symmetry-distinct sites (fractional):
1 Y 0.0000 0.0000 0.0000
2 Er 0.0000 0.0000 0.1393
3 Co 0.0000 0.0000 0.3341
4 Co 0.0014 0.5007 0.9189
5 Ni 0.0000 0.0000 0.5000

---

No. 4
Below is a relaxed Y2ErCo6Ni3 crystal, with properties calculated at the GGA-PBE level.

Calculated values
* calculated total energy: -6.648 eV per atom
* ΔE_f: -2.94 eV/f.u.

Unit cell a=4.8876 b=4.8876 c=24.7487 alpha=90.00 beta=90.00 gamma=120.00
Space group R-3m (No. 166, hexagonal axes)
Symmetry-distinct sites (fractional):
1 Y 0.0000 0.0000 0.1387
2 Er 0.0000 0.0000 0.0000
3 Co 0.9999 0.4999 0.0806
4 Ni 0.0000 0.0000 0.3332
5 Ni 0.0000 0.0000 0.5000

---

No. 5
Below is a relaxed Y2ErCo2Ni7 crystal, with properties calculated at the GGA-PBE level.

Calculated values
* calculated total energy: -6.232 eV per atom
* ΔE_f: -4.11 eV/f.u.

Unit cell a=4.9313 b=4.9313 c=24.3142 alpha=90.00 beta=90.00 gamma=120.00
Space group R-3m (No. 166, hexagonal axes)
Symmetry-distinct sites (fractional):
1 Y 0.0000 0.0000 0.1383
2 Er 0.0000 0.0000 0.0000
3 Co 0.0000 0.0000 0.3328
4 Ni 0.0000 0.0000 0.5000
5 Ni 0.9998 0.4999 0.0811

---

No. 6
Below is a relaxed YEr2CoNi8 crystal, with properties calculated at the GGA-PBE level.

Calculated values
* calculated total energy: -5.996 eV per atom
* ΔE_f: -4.71 eV/f.u.

Unit cell a=4.9186 b=4.9186 c=24.2461 alpha=90.00 beta=90.00 gamma=120.00
Space group R-3m (No. 166, hexagonal axes)
Symmetry-distinct sites (fractional):
1 Y 0.0000 0.0000 0.0000
2 Er 0.0000 0.0000 0.1399
3 Co 0.0000 0.0000 0.5000
4 Ni 0.0000 0.0000 0.3330
5 Ni 0.9996 0.4998 0.0829

---

No. 7
Below is a relaxed Er2ZnCoNi crystal, with properties calculated at the GGA-PBE level.

Calculated values
* calculated total energy: -5.030 eV per atom
* ΔE_f: -2.08 eV/f.u.

Unit cell a=4.095 b=8.061 c=5.409 alpha=90.00 beta=90.00 gamma=90.00
Space group Imm2 (No. 44)
Symmetry-distinct sites (fractional):
1 Er 0.000 0.204 0.000
2 Zn 0.000 0.000 0.492
3 Co 0.000 0.500 0.721
4 Ni 0.000 0.500 0.271